Y2Ti2Tl: relaxed, PBE-GGA.

Geometry as CIF:
```
data_Y2Ti2Tl
_space_group_name_H-M_alt 'P 4/m b m'
_space_group_IT_number 127
_space_group_name_Hall '-P 4 2ab'
_cell_length_a 7.410
_cell_length_b 7.410
_cell_length_c 4.443
_cell_angle_alpha 90.00
_cell_angle_beta 90.00
_cell_angle_gamma 90.00
loop_
_atom_site_label
_atom_site_type_symbol
_atom_site_fract_x
_atom_site_fract_y
_atom_site_fract_z
Y1 Y 0.163 0.337 0.000
Ti1 Ti 0.130 0.630 0.500
Tl1 Tl 0.000 0.000 0.500
```

Properties
theoretical density	6.51	g cm⁻³
calculated formation energy	69	meV per atom
spin magnetization	0.00	μB per cell
energy	-6.1481	eV/atom